# 1
The following is a PBE calculation of an optimized crystal structure of DyHoCo2B2P2, from OQMD via LeMat-Bulk.

Summary:
- final energy (eV/atom) = -6.6930

Lattice parameters (Å, degrees): 3.7715 3.7715 8.0758 90.00 90.00 90.00
Closest atoms and distances in Å follow each position.
Fractional coordinates of all 8 atoms:
Dy 0.0000 0.0000 0.0000  5 P 2.71-2.90, 4 Co 3.01
Ho 0.5000 0.5000 0.4185  5 P 2.71-2.88, 4 Co 3.01
Co 0.0000 0.5000 0.7095  4 B 2.07
Co 0.5000 0.0000 0.7095  4 B 2.07
B 0.0000 0.0000 0.6048  1 P 1.98, 4 Co 2.07
B 0.5000 0.5000 0.8155  1 P 1.99, 4 Co 2.07
P 0.0000 0.0000 0.3591  1 B 1.98
P 0.5000 0.5000 0.0619  1 B 1.99

# 2
The following is a PBE calculation of an optimized crystal structure of Dy2Co4B4Ir, from OQMD via LeMat-Bulk.

Summary:
- final energy (eV/atom) = -7.2354

Lattice parameters (Å, degrees): 7.2450 6.0487 5.3628 78.57 54.92 46.51
Closest atoms and distances in Å follow each position.
Fractional coordinates of all 11 atoms:
Dy 0.1453 0.1453 0.8547  8 B 2.91-3.15, 8 Co 2.92-3.12, 2 Ir 3.00, 1 Dy 3.19
Dy 0.8547 0.8547 0.1453  8 B 2.91-3.15, 8 Co 2.92-3.12, 2 Ir 3.00, 1 Dy 3.19
Co 0.0000 0.0000 0.5000  4 B 2.08
Co 0.2500 0.2500 0.2500  4 B 1.97
Co 0.5000 0.5000 0.0000  4 B 2.08
Co 0.7500 0.7500 0.7500  4 B 1.97
B 0.2004 0.5344 0.4656  4 Co 1.97-2.08, 1 Ir 2.15
B 0.4656 0.7996 0.2004  4 Co 1.97-2.08, 1 Ir 2.15
B 0.5344 0.2004 0.7996  4 Co 1.97-2.08, 1 Ir 2.15
B 0.7996 0.4656 0.5344  4 Co 1.97-2.08, 1 Ir 2.15
Ir 0.5000 0.5000 0.5000  4 B 2.15

# 3
The following is a PBE calculation of an optimized crystal structure of Dy2CoB2IrN2, from OQMD via LeMat-Bulk.

Summary:
- final energy (eV/atom) = -8.0525

Lattice parameters (Å, degrees): 3.5802 3.5802 7.5403 90.00 90.00 90.00
Closest atoms and distances in Å follow each position.
Fractional coordinates of all 8 atoms:
Dy 0.0000 0.5000 0.1631  5 N 2.31-2.54
Dy 0.5000 0.0000 0.8369  5 N 2.31-2.54
Co 0.0000 0.0000 0.5000  4 B 2.14
B 0.0000 0.5000 0.6566  1 N 1.51
B 0.5000 0.0000 0.3434  1 N 1.51
Ir 0.5000 0.5000 0.5000  4 B 2.14
N 0.0000 0.5000 0.8565  1 B 1.51
N 0.5000 0.0000 0.1435  1 B 1.51

# 4
The following is a PBE calculation of an optimized crystal structure of LaDy2Co2B2N3, from OQMD via LeMat-Bulk.

Summary:
- final energy (eV/atom) = -7.7775

Lattice parameters (Å, degrees): 10.4386 10.4386 10.4386 160.46 160.46 27.77
Closest atoms and distances in Å follow each position.
Fractional coordinates of all 10 atoms:
La 0.0000 0.0000 0.0000  6 N 2.50
Dy 0.3708 0.3708 0.0000  5 N 2.51-2.62
Dy 0.6292 0.6292 0.0000  5 N 2.51-2.62
Co 0.2500 0.7500 0.5000  4 B 2.07
Co 0.7500 0.2500 0.5000  4 B 2.07
B 0.1972 0.1972 0.0000  1 N 1.50
B 0.8028 0.8028 0.0000  1 N 1.50
N 0.1233 0.1233 0.0000  1 B 1.50
N 0.5000 0.5000 0.0000  4 La 2.50, 2 Dy 2.62
N 0.8767 0.8767 0.0000  1 B 1.50